No. 1
Compound: LaMg2P
Source: the Alexandria database
Functional: PBE-GGA
Structure: relaxed

Cell and atoms, written as CIF:
```
data_LaMg2P
_cell_length_a 3.856
_cell_length_b 4.323
_cell_length_c 11.979
_cell_angle_alpha 90.00
_cell_angle_beta 90.00
_cell_angle_gamma 90.00
_symmetry_space_group_name_H-M 'A m m 2'
_symmetry_Int_Tables_number 38
_symmetry_space_group_name_Hall 'A 2 -2'
loop_
_atom_site_label
_atom_site_type_symbol
_atom_site_fract_x
_atom_site_fract_y
_atom_site_fract_z
_atom_site_occupancy
La1 La 0.000 0.000 0.000 1
Mg1 Mg 0.000 0.000 0.718 1
Mg2 Mg 0.500 0.000 0.324 1
P1 P 0.500 0.000 0.557 1
```

Computed properties:
The total energy is -3.98 eV per atom. The energy relative to the elements is -232 kJ/mol of formula units.

No. 2
Compound: PrTlCu
Source: the Alexandria database
Functional: PBE-GGA
Structure: relaxed

Cell and atoms, written as CIF:
```
data_PrTlCu
_cell_length_a 4.7392
_cell_length_b 4.7392
_cell_length_c 3.8079
_cell_angle_alpha 90.00
_cell_angle_beta 90.00
_cell_angle_gamma 120.00
_symmetry_space_group_name_H-M 'P -6 m 2'
_symmetry_Int_Tables_number 187
_symmetry_space_group_name_Hall 'P -6 2'
loop_
_atom_site_label
_atom_site_type_symbol
_atom_site_fract_x
_atom_site_fract_y
_atom_site_fract_z
_atom_site_occupancy
Pr1 Pr 0.0000 0.0000 0.0000 1
Tl1 Tl 0.6667 0.3333 0.5000 1
Cu1 Cu 0.3333 0.6667 0.5000 1
```

Computed properties:
The total energy is -3.96 eV per atom. The energy relative to the elements is -62 kJ/mol of formula units.